# 1
VASP calculation (PBE) on a geometry-optimized TlRhO2 structure.

```
4
Lattice="0.7632 -0.2677 3.2826 -3.1767 -0.5000 -1.0431 1.3502 -6.7712 -0.8662" Properties=species:S:1:pos:R:3 pbc="T T T"
Rh -1.2673 -3.4120 0.0164
Tl 1.2596 -6.3170 -0.8081
O -0.8901 -5.3036 -0.2256
O -0.0644 -2.7809 1.5291
```

Summary:
Energy relative to the elements, uncorrected: -116 kJ/mol of formula units

***

# 2
VASP calculation (PBE) on a geometry-optimized Tl6RhO12 structure.

```
19
Lattice="6.4156 0.2654 -1.1083 -1.3591 6.2756 -1.1083 0.2052 0.2654 6.5074" Properties=species:S:1:pos:R:3 pbc="T T T"
O 4.8613 2.8962 2.3930
O 0.2751 2.1165 5.8497
Tl 1.1272 3.9168 -0.1384
O 3.2957 2.8619 0.0103
O 1.9660 3.9446 4.2804
O -0.8666 6.0072 3.5292
O 0.4004 3.9103 1.8977
O 0.5910 6.1320 -0.9076
Tl 0.5700 2.0774 3.4627
Rh 0.0000 0.0000 0.0000
Tl 3.7675 1.0749 1.1320
Tl 4.6917 4.7290 0.8281
Tl 1.4942 5.7316 3.1588
O 2.6616 5.4341 1.0645
O 2.6000 1.3724 3.2262
O 4.9866 4.6899 -1.5590
O 6.1283 0.7993 0.7616
Tl 4.1345 2.8897 4.4291
O 4.6706 0.6745 5.1983
```

Summary:
Energy relative to the elements, uncorrected: -1072 kJ/mol of formula units

***

# 3
VASP calculation (PBE) on a geometry-optimized TlRhO2 structure.

```
8
Lattice="-6.2058 -8.0475 1.8156 1.9353 -4.7592 1.8077 4.5096 0.8583 2.9309" Properties=species:S:1:pos:R:3 pbc="T T T"
Tl -2.3695 -7.7409 3.1034
O 1.0784 -1.6058 1.8196
Rh 0.9980 -9.4074 5.5318
Tl -0.8661 -2.7490 1.0195
O 0.7278 -5.1444 2.7130
O -0.7642 -6.5555 4.4204
O -2.3556 -5.4292 2.4840
Rh 2.4840 -4.4049 3.4352
```

Summary:
Energy relative to the elements, uncorrected: -166 kJ/mol of formula units

***

# 4
VASP calculation (PBE) on a geometry-optimized TlRhO2 structure.

```
4
Lattice="2.7715 -1.6001 0.0000 0.0000 3.2002 0.0000 0.0000 0.0000 6.8361" Properties=species:S:1:pos:R:3 pbc="T T T"
O 1.8477 0.0000 0.8855
O 0.9238 1.6001 5.8348
Rh 0.0000 0.0000 6.7758
Tl 0.9238 1.6001 3.2866
```

Summary:
Energy relative to the elements, uncorrected: -236 kJ/mol of formula units

***

# 5
VASP calculation (PBE) on a geometry-optimized Tl2RhO structure.

```
4
Lattice="4.0328 1.0904 2.1070 0.0688 3.2132 3.4003 0.7501 -1.2994 4.4318" Properties=species:S:1:pos:R:3 pbc="T T T"
Rh 2.4259 1.5021 4.9695
Tl 3.6388 2.2532 7.4543
Tl 1.2129 0.7511 2.4848
O 0.0000 0.0000 0.0000
```

Summary:
Energy relative to the elements, uncorrected: 125 kJ/mol of formula units
Excess energy over the best structure of this formula in the dataset: 0.3640 eV per atom

***

# 6
VASP calculation (PBE) on a geometry-optimized TlRhO2 structure.

```
8
Lattice="4.7871 0.0000 0.0000 0.0000 4.7871 0.0000 2.3935 2.3935 4.9555" Properties=species:S:1:pos:R:3 pbc="T T T"
O 2.3935 2.3935 2.0565
Rh 2.3935 2.3935 0.0000
O 2.3935 4.7871 4.5343
Tl 0.0000 0.0000 0.0000
Tl 4.7871 2.3935 2.4777
O 2.3935 4.7871 0.4212
Rh 2.3935 4.7871 2.4777
O 4.7871 4.7871 2.8989
```

Summary:
Energy relative to the elements, uncorrected: -79 kJ/mol of formula units

***

# 7
VASP calculation (PBE) on a geometry-optimized TlRhO2 structure.

```
8
Lattice="-5.4262 0.0524 -10.3827 4.4125 -2.8475 10.4723 -3.0735 1.1663 1.6122" Properties=species:S:1:pos:R:3 pbc="T T T"
Tl -7.1165 0.7459 -7.8703
Rh 0.6422 -1.6711 4.5123
O -4.8937 -0.0394 -7.2222
O -5.5254 0.2770 -4.4978
Tl 3.0293 -2.3747 9.5721
Rh -4.7294 0.0424 -2.8105
O 1.4382 -1.9057 6.1995
O 0.8065 -1.5893 8.9239
```

Summary:
Energy relative to the elements, uncorrected: -81 kJ/mol of formula units

***

# 8
VASP calculation (PBE) on a geometry-optimized U3Tl2RhO12 structure.

```
18
Lattice="7.5765 -0.1866 -0.1323 3.5794 6.6803 -0.1323 3.5794 2.0835 6.3484" Properties=species:S:1:pos:R:3 pbc="T T T"
O 5.7103 0.3815 0.2706
O 7.7606 4.5173 0.1292
U 3.7883 -0.0933 -0.0662
O 11.5837 6.7427 1.6648
O 3.1517 1.8346 4.4189
O 5.2372 5.9505 4.2206
O 7.7606 1.6153 4.2206
O 6.9748 4.0599 5.9546
O 9.0251 8.1958 5.8132
Tl 5.0197 2.9219 2.0725
O 3.1517 4.7769 0.2706
Rh 0.0000 0.0000 0.0000
O 11.5837 3.8003 5.8132
Tl 9.7157 5.6553 4.0113
U 1.7897 1.0418 3.1742
U 1.7897 3.3401 -0.0662
O 9.4982 2.6267 1.8631
O 6.9748 6.9619 1.8631
```

Summary:
Energy relative to the elements, uncorrected: -3959 kJ/mol of formula units

***

# 9
VASP calculation (PBE) on a geometry-optimized UTl2RhO6 structure.

```
10
Lattice="-2.3603 -4.9852 1.9724 2.7518 0.7164 5.1214 -3.0590 -0.0189 5.0004" Properties=species:S:1:pos:R:3 pbc="T T T"
Tl -0.0555 -0.7182 6.8345
O 1.4520 -0.7337 4.3213
O -1.2639 -3.1943 7.8358
O -4.1195 -3.5540 7.7729
U 0.0000 0.0000 0.0000
Rh 0.1958 -2.1344 3.5469
O 0.2898 -3.1824 5.2898
Tl -2.6119 -3.5695 5.2597
O -1.4036 -1.0934 4.2584
O -2.9573 -1.1053 6.8044
```

Summary:
Energy relative to the elements, uncorrected: -1560 kJ/mol of formula units

***

# 10
VASP calculation (PBE) on a geometry-optimized UTl2RhO8 structure.

```
12
Lattice="-3.7041 -3.3327 1.0477 2.1928 -3.1800 -3.3061 3.6587 -2.5368 4.8665" Properties=species:S:1:pos:R:3 pbc="T T T"
Rh 1.8294 -1.2684 2.4333
O 1.3961 -3.0895 1.8098
O 3.2042 -4.4556 4.2079
Tl 1.9555 -5.1363 2.4771
O -1.7383 -3.9561 1.5054
O -1.0568 -4.5938 -1.5997
O 2.0774 -3.8396 -1.3026
O 3.8857 -5.0933 1.1028
Tl 0.1919 -3.9131 0.1311
O 0.0700 -5.2098 3.9107
U 0.0000 0.0000 0.0000
O 0.7513 -5.9599 0.7983
```

Summary:
Energy relative to the elements, uncorrected: -1611 kJ/mol of formula units

***

Table of total moment (μB per formula unit), in record order: 0.000 2.920 0.000 0.000 0.000 0.000 0.000 1.030 0.000 1.012